Compound: KEuBiWO6
Source: Alexandria
Functional: PBE+U
Structure: optimized geometry Values from VASP.

Output
calculated total energy	-7.191	eV/atom
volume	155.7	Å³/cell
crystal system	cubic
symmetry	F-43m (216)

```
&SYSTEM
  ibrav = 0, nat = 10, ntyp = 5
/
ATOMIC_SPECIES
K 39.10 K.upf
Eu 151.96 Eu.upf
Bi 208.98 Bi.upf
W 183.84 W.upf
O 16.00 O.upf
CELL_PARAMETERS angstrom
-0.061 -3.374 5.007
-5.106 -2.701 1.758
-0.537 -6.000 -0.409
ATOMIC_POSITIONS angstrom
K -4.279 -9.057 4.767
Eu -1.426 -3.019 1.589
Bi 0.000 0.000 0.000
W -2.852 -6.038 3.178
O -3.882 -4.513 2.529
O -1.823 -7.562 3.826
O -4.128 -7.255 2.342
O -1.577 -4.821 4.014
O -1.795 -6.021 1.539
O -3.910 -6.055 4.817
```